(1)
Density functional theory data (GGA-PBE) for crystalline LaSnPd2 at its relaxed geometry.

The structure belongs to space group P4/mmm (No. 123); the cell edges are 4.8516, 4.8516 and 3.6961 Å and the angles 90.00°, 90.00° and 90.00°. Symmetry generates all atoms from La at (0.0000, 0.0000, 0.0000), Sn at (0.5000, 0.5000, 0.0000) and Pd at (0.0000, 0.5000, 0.5000).

The value obtained for the total energy is -5.499 eV/atom. Its crystal system is tetragonal. The value obtained for the density of states at the Fermi level is 2.01 states/eV/f.u.



(2)
Density functional theory data (GGA-PBE) for crystalline CeAlCrSi2 at its relaxed geometry.

The structure belongs to space group Pmma (No. 51); the cell edges are 5.4176, 5.5528 and 5.7088 Å and the angles 90.00°, 90.00° and 90.00°. Symmetry generates all atoms from Ce at (0.2500, 0.0000, 0.2289), Al at (0.2500, 0.5000, 0.3807), Cr at (0.0000, 0.5000, 0.0000) and Si at (0.2500, 0.2363, 0.7480).

The value obtained for the total energy is -6.384 eV/atom. Its crystal system is orthorhombic. The value obtained for the density of states at the Fermi level is 4.15 states/eV/f.u.



(3)
Density functional theory data (GGA-PBE) for crystalline PmSc2Co9 at its relaxed geometry.

The structure belongs to space group R-3m (No. 166, hexagonal axes); the cell edges are 4.9223, 4.9223 and 23.7778 Å and the angles 90.00°, 90.00° and 120.00°. Symmetry generates all atoms from Pm at (0.0000, 0.0000, 0.0000), Sc at (0.0000, 0.0000, 0.1417), Co at (0.0000, 0.0000, 0.3356), Co at (0.0000, 0.0000, 0.5000) and Co at (0.0065, 0.5032, 0.9152).

The value obtained for the total energy is -6.999 eV/atom. Its crystal system is trigonal. The value obtained for the density of states at the Fermi level is 15.97 states/eV/f.u.



(4)
Density functional theory data (GGA-PBE) for crystalline Si2Sn2Pb at its relaxed geometry.

The structure belongs to space group I4/mmm (No. 139); the cell edges are 3.5100, 3.5100 and 19.6790 Å and the angles 90.00°, 90.00° and 90.00°. Symmetry generates all atoms from Si at (0.0000, 0.5000, 0.2500), Sn at (0.0000, 0.0000, 0.1231) and Pb at (0.0000, 0.0000, 0.5000).

The calculation puts the relative energy among the computed polymorphs at 0.0 meV per atom. Its crystal system is tetragonal. The value obtained for the density of states at the Fermi level is 1.97 states/eV/f.u.



| no. | size of the total moment (μB per formula unit) |
| --- | --- |
| 1 | 0.000 |
| 2 | 0.008 |
| 3 | 10.602 |
| 4 | 0.000 |